[1]
A plane-wave DFT calculation with PBE was carried out for crystalline CsMg2Ga2 at its relaxed geometry.

extended XYZ file:
```
10
Lattice="9.225 0.000 0.000 0.000 9.225 0.000 0.000 0.000 3.171" Properties=species:S:1:pos:R:3 pbc="T T T"
Cs 0.000 0.000 0.000
Cs 4.612 4.612 0.000
Mg 1.155 3.457 0.000
Mg 3.457 8.070 0.000
Mg 5.768 1.155 0.000
Mg 8.070 5.768 0.000
Ga 1.408 6.020 1.585
Ga 3.205 1.408 1.585
Ga 6.020 7.817 1.585
Ga 7.817 3.205 1.585
```

Values from the calculation:
Calculated volume   26.984 A^3/atom
Total moment   0.00 μB/f.u.
E_form   66 meV/atom
Energy above the most stable polymorph in this dataset   0.26 eV/f.u.



[2]
A plane-wave DFT calculation with PBE was carried out for crystalline YB2C at its relaxed geometry.

extended XYZ file:
```
32
Lattice="6.803 0.000 0.000 0.000 6.803 0.000 0.000 0.000 7.493" Properties=species:S:1:pos:R:3 pbc="T T T"
Y 1.299 2.103 1.873
Y 1.299 2.103 5.620
Y 2.103 5.504 1.873
Y 2.103 5.504 5.620
Y 4.700 1.299 1.873
Y 4.700 1.299 5.620
Y 5.504 4.700 1.873
Y 5.504 4.700 5.620
B 0.235 5.770 0.000
B 0.645 4.061 0.000
B 0.659 4.047 3.746
B 1.033 0.235 3.746
B 2.368 3.636 3.746
B 2.742 0.645 3.746
B 2.757 0.659 0.000
B 3.167 2.368 0.000
B 3.636 4.435 0.000
B 4.047 6.144 0.000
B 4.061 6.158 3.746
B 4.435 3.167 3.746
B 5.770 6.569 3.746
B 6.144 2.757 3.746
B 6.158 2.742 0.000
B 6.569 1.033 0.000
C 0.276 5.597 3.746
C 1.206 0.276 0.000
C 2.196 3.678 0.000
C 3.126 2.196 3.746
C 3.678 4.608 3.746
C 4.608 3.126 0.000
C 5.597 6.527 0.000
C 6.527 1.206 3.746
```

Values from the calculation:
Calculated volume   10.837 A^3/atom
Total moment   0.00 μB/f.u.
E_form   -524 meV/atom



[3]
A plane-wave DFT calculation with PBE was carried out for crystalline Tl2Si2Bi at its relaxed geometry.

extended XYZ file:
```
10
Lattice="8.944 0.000 0.000 0.000 8.944 0.000 0.000 0.000 3.306" Properties=species:S:1:pos:R:3 pbc="T T T"
Tl 1.754 2.718 0.000
Tl 2.718 7.190 0.000
Tl 6.226 1.754 0.000
Tl 7.190 6.226 0.000
Si 0.831 5.303 1.653
Si 3.641 0.831 1.653
Si 5.303 8.113 1.653
Si 8.113 3.641 1.653
Bi 0.000 0.000 0.000
Bi 4.472 4.472 0.000
```

Values from the calculation:
Calculated volume   26.448 A^3/atom
Uncorrected formation energy   0.52 eV per atom
Total moment   0.00 μB/f.u.
Energy above the most stable polymorph in this dataset   1.36 eV/f.u.